Entry 1:
DFT (PBE) results for a relaxed structure of HfReAs2O.

## Properties
The value obtained for the formation energy (no corrections) is 0.172 eV per atom.

Cell: 5.257 3.853 5.257 Å, 90.00 90.00 90.00°
Element x y z (fractional)
Re (0.500, 0.500, 0.500)
Hf (0.000, 0.000, 0.000)
O (0.000, 0.500, 0.000)
As (0.500, 0.000, 0.000)
As (0.000, 0.000, 0.500)

---

Entry 2:
DFT (PBE) results for a relaxed structure of KTaBr2.

## Properties
The value obtained for the relative energy among the computed polymorphs is 44 meV/atom. The value obtained for the formation energy (no corrections) is -0.089 eV per atom.

Cell: 5.001 3.364 6.955 Å, 75.95 90.00 90.00°
Element x y z (fractional)
Br (0.500, 0.198, 0.229)
Br (0.000, 0.867, 0.891)
Ta (0.500, 0.859, 0.908)
K (0.000, 0.576, 0.473)

---

Entry 3:
DFT (PBE) results for a relaxed structure of Ca2ZrF2.

## Properties
The value obtained for the relative energy among the computed polymorphs is 0 meV/atom. The value obtained for the formation energy (no corrections) is -1.984 eV per atom.

Cell: 3.639 3.639 8.753 Å, 78.00 78.00 90.00°
Element x y z (fractional)
Zr (0.000, 0.000, 0.000)
Ca (0.335, 0.335, 0.330)
Ca (0.665, 0.665, 0.670)
F (0.250, 0.750, 0.500)
F (0.750, 0.250, 0.500)

---

Entry 4:
DFT (PBE) results for a relaxed structure of Li2Sm2CdPd5.

## Properties
Its energy of formation is -592.6 kJ/mol of formula units.

Cell: 3.810 9.621 9.621 Å, 90.00 90.00 90.00°
Element x y z (fractional)
Li (0.000, 0.382, 0.118)
Li (0.000, 0.882, 0.382)
Li (0.000, 0.618, 0.882)
Li (0.000, 0.118, 0.618)
Pd (0.500, 0.789, 0.932)
Pd (0.500, 0.289, 0.568)
Pd (0.500, 0.068, 0.789)
Pd (0.500, 0.000, 0.500)
Pd (0.500, 0.211, 0.068)
Pd (0.500, 0.711, 0.432)
Pd (0.500, 0.568, 0.711)
Pd (0.500, 0.500, 0.000)
Pd (0.500, 0.932, 0.211)
Pd (0.500, 0.432, 0.289)
Sm (0.000, 0.680, 0.180)
Sm (0.000, 0.820, 0.680)
Sm (0.000, 0.180, 0.320)
Sm (0.000, 0.320, 0.820)
Cd (0.000, 0.000, 0.000)
Cd (0.000, 0.500, 0.500)

---

Entry 5:
DFT (PBE) results for a relaxed structure of Li4ReBr.

## Properties
The value obtained for the formation energy (no corrections) is 0.615 eV per atom.

Cell: 5.184 5.184 5.184 Å, 60.00 60.00 60.00°
Element x y z (fractional)
Li (0.377, 0.377, 0.377)
Li (0.869, 0.377, 0.377)
Li (0.377, 0.377, 0.869)
Li (0.377, 0.869, 0.377)
Br (0.000, 0.000, 0.000)
Re (0.750, 0.750, 0.750)

---

Entry 6:
DFT (PBE) results for a relaxed structure of CoIr2W.

## Properties
The value obtained for the relative energy among the computed polymorphs is 73 meV/atom. Its energy of formation is -54.6 kJ/mol of formula units.

Cell: 4.694 4.694 4.694 Å, 132.17 132.17 69.97°
Element x y z (fractional)
Co (0.750, 0.250, 0.500)
W (0.500, 0.500, 0.000)
Ir (0.250, 0.750, 0.500)
Ir (0.000, 0.000, 0.000)

---

Entry 7:
DFT (PBE) results for a relaxed structure of Er8PuSc6.

## Properties
Its energy of formation is 397.8 kJ/mol of formula units.

Cell: 6.425 8.913 8.913 Å, 120.00 90.00 90.00°
Element x y z (fractional)
Sc (0.598, 0.943, 0.616)
Sc (0.598, 0.672, 0.057)
Sc (0.402, 0.328, 0.943)
Sc (0.402, 0.057, 0.384)
Sc (0.598, 0.384, 0.328)
Sc (0.402, 0.616, 0.672)
Er (0.112, 0.041, 0.691)
Er (0.762, 0.333, 0.667)
Er (0.112, 0.309, 0.350)
Er (0.888, 0.959, 0.309)
Er (0.888, 0.350, 0.041)
Er (0.888, 0.691, 0.650)
Er (0.112, 0.650, 0.959)
Er (0.238, 0.667, 0.333)
Pu (0.500, 0.000, 0.000)

---

Entry 8:
DFT (PBE) results for a relaxed structure of NdDy3Ni2.

## Properties
The value obtained for the relative energy among the computed polymorphs is 0 meV/atom. Its energy of formation is -152.7 kJ/mol of formula units.

Cell: 3.911 8.316 9.932 Å, 77.82 78.64 76.40°
Element x y z (fractional)
Dy (0.416, 0.730, 0.438)
Dy (0.155, 0.938, 0.752)
Dy (0.845, 0.062, 0.248)
Dy (0.582, 0.781, 0.056)
Dy (0.584, 0.270, 0.562)
Dy (0.418, 0.219, 0.944)
Nd (0.151, 0.443, 0.256)
Nd (0.849, 0.557, 0.744)
Ni (0.768, 0.916, 0.548)
Ni (0.232, 0.084, 0.452)
Ni (0.769, 0.413, 0.049)
Ni (0.231, 0.587, 0.951)

---

Entry 9:
DFT (PBE) results for a relaxed structure of Zr2InN.

## Properties
The value obtained for the formation energy (no corrections) is 0.537 eV per atom.

Cell: 4.697 4.697 4.697 Å, 60.00 60.00 60.00°
Element x y z (fractional)
Zr (0.250, 0.250, 0.250)
Zr (0.750, 0.750, 0.750)
N (0.000, 0.000, 0.000)
In (0.500, 0.500, 0.500)

---

Entry 10:
DFT (PBE) results for a relaxed structure of PmDy2TmS4.

## Properties
The value obtained for the formation energy (no corrections) is -1.980 eV per atom.

Cell: 3.880 6.781 6.862 Å, 71.07 90.00 90.00°
Element x y z (fractional)
Dy (0.500, 0.000, 0.500)
Dy (0.000, 0.000, 0.000)
Tm (0.000, 0.500, 0.500)
S (0.000, 0.756, 0.740)
S (0.500, 0.749, 0.259)
S (0.500, 0.251, 0.741)
S (0.000, 0.244, 0.260)
Pm (0.500, 0.500, 0.000)

---

Entry 11:
DFT (PBE) results for a relaxed structure of La3Sn3Au8.

## Properties
The value obtained for the relative energy among the computed polymorphs is 0 meV/atom. Its energy of formation is -877.7 kJ/mol of formula units.

Cell: 4.831 8.994 8.794 Å, 64.73 74.06 74.42°
Element x y z (fractional)
Au (0.498, 0.321, 0.684)
Au (0.502, 0.679, 0.316)
Au (0.864, 0.855, 0.417)
Au (0.858, 0.425, 0.859)
Au (0.142, 0.575, 0.141)
Au (0.654, 0.982, 0.710)
Au (0.136, 0.145, 0.583)
Au (0.346, 0.018, 0.290)
La (0.300, 0.716, 0.683)
La (0.700, 0.284, 0.317)
La (0.000, 0.000, 0.000)
Sn (0.000, 0.500, 0.500)
Sn (0.665, 0.691, 0.979)
Sn (0.335, 0.309, 0.021)

---

Entry 12:
DFT (PBE) results for a relaxed structure of UMnPt4.

## Properties
Its energy of formation is -297.7 kJ/mol of formula units.

Cell: 5.328 5.328 5.328 Å, 60.00 60.00 60.00°
Element x y z (fractional)
Pt (0.626, 0.626, 0.626)
Pt (0.626, 0.626, 0.123)
Pt (0.123, 0.626, 0.626)
Pt (0.626, 0.123, 0.626)
U (0.250, 0.250, 0.250)
Mn (0.000, 0.000, 0.000)

---

Entry 13:
DFT (PBE) results for a relaxed structure of PuUTcRh.

## Properties
Its energy of formation is -82.9 kJ/mol of formula units.

Cell: 4.616 4.616 4.616 Å, 60.00 60.00 60.00°
Element x y z (fractional)
Rh (0.250, 0.250, 0.250)
Tc (0.500, 0.500, 0.500)
Pu (0.000, 0.000, 0.000)
U (0.750, 0.750, 0.750)

---

Entry 14:
DFT (PBE) results for a relaxed structure of TbHf2Ti.

## Properties
The value obtained for the relative energy among the computed polymorphs is 23 meV/atom. Its energy of formation is 75.2 kJ/mol of formula units.

Cell: 3.179 3.179 10.618 Å, 81.39 81.39 60.00°
Element x y z (fractional)
Hf (0.742, 0.742, 0.773)
Hf (0.258, 0.258, 0.227)
Ti (0.000, 0.000, 0.000)
Tb (0.500, 0.500, 0.500)

---

| no. | spin magnetization (μB/cell) |
| --- | --- |
| 1 | 3.0 |
| 2 | 0.0 |
| 3 | 1.9 |
| 4 | 0.0 |
| 5 | 2.0 |
| 6 | 0.0 |
| 7 | 6.5 |
| 8 | 0.0 |
| 9 | 0.0 |
| 10 | 0.0 |
| 11 | 0.0 |
| 12 | 2.7 |
| 13 | 3.8 |
| 14 | 0.0 |